No. 1
NaAc2Sm | GGA-PBE | optimized geometry

a b c (Å): 3.834 3.834 11.144
angles (deg): 90.00 90.00 90.00
Sites, in units of the cell vectors:
Na  0.500  0.500  0.500
Ac  0.000  0.000  0.765
Ac  0.000  0.000  0.235
Sm  0.500  0.500  0.000

Results
- space-group type = P4/mmm (123)

=====

No. 2
NaAc2Sm | GGA-PBE | optimized geometry

a b c (Å): 3.995 6.290 6.290
angles (deg): 90.00 90.00 90.00
Sites, in units of the cell vectors:
Na  0.500  0.000  0.000
Ac  0.000  0.000  0.500
Ac  0.000  0.500  0.000
Sm  0.500  0.500  0.500

Results
- space-group type = P4/mmm (123)

=====

| no. | relative energy among the computed polymorphs (eV/atom) | VASP energy (eV per formula unit) |
| --- | --- | --- |
| 1 | 0.0104 | -13.91 |
| 2 | 0.0632 | -13.70 |